Record 1
RbAcTe3Pb, relaxed, DFT PBE; space-group type = P2_1/m; formation energy from raw total energies = -1.06 eV per atom
1.0
4.727 0.000 0.000
0.000 9.686 -0.407
0.000 -3.052 12.209
Pb Te Rb Ac
2 6 2 2
Cartesian
3.545 7.021 5.042
1.182 -0.387 6.760
3.545 8.145 2.279
1.182 5.045 4.918
1.182 3.090 10.545
3.545 3.544 1.257
1.182 -1.511 9.523
3.545 1.589 6.884
1.182 1.461 3.192
3.545 5.173 8.609
1.182 5.836 1.628
3.545 0.798 10.174

***

Record 2
In4HgCl2, relaxed, DFT PBE; space-group type = I4/mmm; formation energy from raw total energies = -0.19 eV per atom
1.0
-3.362 -4.234 1.536
2.949 -0.621 4.744
-4.901 2.597 6.716
Cl In Hg
2 4 1
Cartesian
-4.107 -0.901 9.094
-1.207 -1.357 3.902
-2.467 -2.656 7.845
-2.847 0.398 5.151
1.475 -0.311 2.372
-1.681 -2.117 0.768
0.000 0.000 0.000

***

Record 3
Sn3HgAu4, relaxed, DFT PBE; space-group type = P6_3/mmc
1.0
3.926 0.000 0.000
-1.963 3.400 0.000
0.000 0.000 28.297
Hg Sn Au
2 6 8
Cartesian
1.963 1.133 21.223
0.000 2.267 7.074
0.000 0.000 0.000
0.000 2.267 17.728
1.963 1.133 10.569
0.000 0.000 14.149
0.000 2.267 24.718
1.963 1.133 3.580
0.000 0.000 23.034
0.000 0.000 8.886
0.000 2.267 1.770
0.000 0.000 5.263
1.963 1.133 15.919
0.000 2.267 12.378
0.000 0.000 19.411
1.963 1.133 26.527

***

Record 4
ScV2As, relaxed, DFT PBE; space-group type = I-42d
1.0
-2.438 -3.702 -5.953
6.947 -0.432 -2.577
2.580 -4.291 -3.015
V Sc As
4 2 2
Cartesian
4.814 -1.605 -2.786
6.257 -6.859 -9.865
3.249 -4.745 -5.321
-0.143 -3.641 -5.119
5.891 -3.395 -4.929
2.255 -2.067 -4.265
1.198 -5.030 -6.617
0.000 0.000 0.000

***

Record 5
TiMoSI2, relaxed, DFT PBE; space-group type = P4/mmm; formation energy from raw total energies = 0.87 eV per atom
1.0
-3.229 -3.994 -1.126
3.817 -2.577 -1.806
0.872 -2.048 4.764
Mo S Ti I
1 1 1 2
Cartesian
0.000 0.000 0.000
0.730 -4.310 0.916
1.909 -1.289 -0.903
-1.615 -1.997 -0.563
0.436 -1.024 2.382

***

Record 6
Li3Pu2AgS6, relaxed, DFT PBE; space-group type = C2/m; formation energy from raw total energies = -1.23 eV per atom
1.0
-4.259 3.837 -3.409
-1.045 -1.150 6.486
5.121 4.048 0.377
Li S Ag Pu
3 6 1 2
Cartesian
1.000 1.673 5.088
-1.183 5.062 -1.634
-0.091 3.367 1.727
2.411 3.717 1.090
0.462 4.158 4.281
0.471 0.845 2.608
-2.594 3.018 2.364
-0.654 5.890 0.846
-0.645 2.577 -0.827
0.000 0.000 0.000
-3.189 2.177 -0.114
-2.115 0.510 3.191

***

Record 7
HoGaCl, relaxed, DFT PBE; space-group type = C2/m; formation energy from raw total energies = -1.34 eV per atom
1.0
-3.667 -0.479 -1.697
3.335 0.012 -2.331
2.165 -10.328 3.073
Ga Ho Cl
2 2 2
Cartesian
1.446 -5.835 -1.497
0.387 -4.960 0.543
-1.080 -3.595 -1.549
2.913 -7.199 0.594
1.130 -1.881 -1.930
0.703 -8.913 0.975

***

Record 8
Ba2SrSb2, relaxed, DFT PBE; excess energy over the best structure of this formula in the dataset = 0.052 eV per atom; space-group type = P4/mbm; formation energy from raw total energies = -0.95 eV per atom
1.0
9.357 0.000 0.000
0.000 9.357 0.000
0.000 0.000 4.683
Sb Sr Ba
4 2 4
Cartesian
7.758 6.277 0.000
6.277 1.599 0.000
3.080 7.758 0.000
1.599 3.080 0.000
0.000 0.000 0.000
4.679 4.679 0.000
8.103 3.425 2.341
5.932 8.103 2.341
1.254 5.932 2.341
3.425 1.254 2.341

***

Record 9
LiIn3Pb4, relaxed, DFT PBE; space-group type = C2/m
1.0
-3.106 0.240 -1.424
1.194 -3.546 -3.202
-3.449 -7.636 10.956
Pb Li In
4 1 3
Cartesian
-2.884 -5.733 1.485
-2.477 -5.209 4.844
-3.562 -7.599 7.085
-1.798 -3.343 -0.756
0.597 -1.773 -1.601
-1.553 0.120 -0.712
-4.033 -8.199 3.787
-1.328 -2.744 2.543

***

Record 10
CdGa3Au3, relaxed, DFT PBE; excess energy over the best structure of this formula in the dataset = 0.270 eV per atom; space-group type = Pm-3n
1.0
7.202 0.000 0.000
0.000 7.202 0.000
0.000 0.000 7.202
Ga Au Cd
6 6 2
Cartesian
3.601 5.401 0.000
3.601 1.800 0.000
5.401 0.000 3.601
0.000 3.601 1.800
0.000 3.601 5.401
1.800 0.000 3.601
3.601 0.000 1.800
0.000 5.401 3.601
3.601 0.000 5.401
1.800 3.601 0.000
5.401 3.601 0.000
0.000 1.800 3.601
3.601 3.601 3.601
0.000 0.000 0.000

***

Record 11
Mg2AlSb, relaxed, DFT PBE; excess energy over the best structure of this formula in the dataset = 0.069 eV per atom; space-group type = Imm2; formation energy from raw total energies = 0.00 eV per atom
1.0
-4.182 4.150 2.886
-2.690 -0.569 5.956
5.281 0.395 -3.872
Mg Sb Al
2 1 1
Cartesian
-6.576 3.426 8.462
-0.499 0.848 3.351
-3.697 1.926 4.758
-1.126 3.145 1.663

***

Record 12
TiH3Rh, relaxed, DFT PBE; space-group type = I4mm
1.0
2.951 0.000 0.000
0.000 2.951 0.000
-1.475 -1.475 4.471
H Ti Rh
3 1 1
Cartesian
0.000 1.475 2.573
0.000 0.000 3.955
1.475 0.000 2.573
1.475 1.475 3.887
1.475 1.475 1.232

***

Taking the records one at a time from the top gives E values of -4.09; -2.32; -3.27; -7.15; -4.32; -6.40; -4.49; -3.70; -3.14; -2.74; -2.77; -5.33 eV/atom.
Taking the records one at a time from the top gives magnetic moment values of 0.00; 0.00; 0.00; 0.00; 0.00; 8.00; 0.00; 0.00; 0.00; 0.00; 0.00; 0.00 μB per formula unit.